Record 1
VASP calculation (PBE-GGA) on crystalline SrSc2CrS at its relaxed geometry.

Unit cell a=5.094 b=5.094 c=4.324 alpha=90.00 beta=90.00 gamma=90.00
Sites, in units of the cell vectors:
Sr  0.000  0.000  0.000
Sc  0.000  0.500  0.500
Sc  0.500  0.000  0.500
Cr  0.500  0.500  0.000
S  0.500  0.500  0.500

Computed properties:
Its calculated volume is 22.44 Å³/atom. For the raw total energy, the calculation gives -28.644 eV per cell. The value obtained for the spin magnetization is 0.0 μB per formula unit. As for the energy relative to the elements, uncorrected: -0.1097 eV per atom.


Record 2
VASP calculation (PBE-GGA) on crystalline Be3IrBr at its relaxed geometry.

Unit cell a=4.161 b=4.161 c=4.161 alpha=90.00 beta=90.00 gamma=90.00
Sites, in units of the cell vectors:
Be  0.000  0.000  0.500
Be  0.000  0.500  0.000
Be  0.500  0.000  0.000
Ir  0.500  0.500  0.500
Br  0.000  0.000  0.000

Computed properties:
Its energy above the lowest structure with this stoichiometry is 0.9655 eV per atom. Its calculated volume is 14.41 Å³/atom. For the raw total energy, the calculation gives -14.424 eV per cell. The value obtained for the spin magnetization is 0.0 μB per formula unit. As for the energy relative to the elements, uncorrected: 1.4577 eV per atom.